Record 1
Compound: La2SmTi
Source: Alexandria via LeMat-Bulk
Functional: PBE
Structure: optimized geometry

abc: 12.331 12.331 12.331
angles: 15.77 15.77 15.77
Fractional positions:
La 0.079 0.079 0.079
La 0.921 0.921 0.921
Sm 0.500 0.500 0.500
Ti 0.000 0.000 0.000

Space-group type: No. 166
E in eV per atom: -5.17
Energy of formation in eV/atom: 0.45
DOS(E_F) in states/eV/cell: 6.59

Record 2
Compound: NdPdPb
Source: Alexandria via LeMat-Bulk
Functional: PBE
Structure: optimized geometry

abc: 9.492 9.492 9.492
angles: 154.37 154.37 36.56
Fractional positions:
Nd 0.000 0.000 0.000
Nd 0.750 0.250 0.500
Pd 0.306 0.806 0.500
Pd 0.556 0.556 0.000
Pb 0.153 0.653 0.500
Pb 0.403 0.403 0.000

Space-group type: No. 109
E in eV per atom: -5.14
Energy of formation in eV/atom: -0.59
DOS(E_F) in states/eV/cell: 2.64

Record 3
Compound: TlCd2I2
Source: Alexandria via LeMat-Bulk
Functional: PBE
Structure: optimized geometry

abc: 6.438 6.438 6.438
angles: 121.54 121.54 87.36
Fractional positions:
Tl 0.000 0.000 0.000
Cd 0.352 0.352 0.000
Cd 0.648 0.648 0.000
I 0.250 0.750 0.500
I 0.750 0.250 0.500

ΔE to the lowest computed polymorph in meV per atom: 6.3
Space-group type: No. 139
E in eV per atom: -1.71
DOS(E_F) in states/eV/cell: 1.55
Raw formation energy in eV per atom: -0.246

Record 4
Compound: BaBe2Br
Source: Alexandria via LeMat-Bulk
Functional: PBE
Structure: optimized geometry

abc: 6.772 6.772 6.772
angles: 101.82 101.82 126.17
Fractional positions:
Ba 0.000 0.000 0.000
Ba 0.750 0.250 0.500
Be 0.160 0.625 0.035
Be 0.375 0.410 0.535
Be 0.590 0.125 0.965
Be 0.875 0.840 0.465
Br 0.250 0.750 0.500
Br 0.500 0.500 0.000

ΔE to the lowest computed polymorph in meV per atom: 493.1
Space-group type: No. 122
E in eV per atom: -2.26
DOS(E_F) in states/eV/cell: 5.65
Raw formation energy in eV per atom: 0.505

Record 5
Compound: Ho2PaCo3
Source: Alexandria via LeMat-Bulk
Functional: PBE
Structure: optimized geometry

abc: 6.523 3.749 19.317
angles: 90.00 90.00 90.00
Fractional positions:
Ho 0.122 0.250 0.095
Ho 0.237 0.250 0.280
Ho 0.263 0.750 0.780
Ho 0.378 0.750 0.595
Ho 0.622 0.250 0.405
Ho 0.737 0.250 0.220
Ho 0.763 0.750 0.720
Ho 0.878 0.750 0.905
Pa 0.096 0.750 0.427
Pa 0.404 0.250 0.927
Pa 0.596 0.750 0.073
Pa 0.904 0.250 0.573
Co 0.046 0.750 0.203
Co 0.094 0.250 0.669
Co 0.237 0.750 0.990
Co 0.263 0.250 0.490
Co 0.406 0.750 0.169
Co 0.454 0.250 0.703
Co 0.546 0.750 0.297
Co 0.594 0.250 0.831
Co 0.737 0.750 0.510
Co 0.763 0.250 0.010
Co 0.906 0.750 0.331
Co 0.954 0.250 0.797

ΔE to the lowest computed polymorph in meV per atom: 13.8
Space-group type: No. 62
E in eV per atom: -6.86
Energy of formation in eV/atom: -0.20
DOS(E_F) in states/eV/cell: 20.19

Record 6
Compound: Si2SbP
Source: Alexandria via LeMat-Bulk
Functional: PBE
Structure: optimized geometry

abc: 4.663 4.663 4.663
angles: 60.00 60.00 60.00
Fractional positions:
Si 0.000 0.000 0.000
Si 0.250 0.250 0.250
Sb 0.750 0.750 0.750
P 0.500 0.500 0.500

ΔE to the lowest computed polymorph in meV per atom: 424.6
Space-group type: No. 216
E in eV per atom: -4.44
DOS(E_F) in states/eV/cell: 4.71
Raw formation energy in eV per atom: 0.651

Record 7
Compound: Nd3Sm2Ag2
Source: Alexandria via LeMat-Bulk
Functional: PBE
Structure: optimized geometry

abc: 15.973 15.973 3.659
angles: 90.00 90.00 166.76
Fractional positions:
Nd 0.000 0.000 0.000
Nd 0.122 0.878 0.000
Nd 0.878 0.122 0.000
Sm 0.297 0.703 0.500
Sm 0.703 0.297 0.500
Ag 0.439 0.561 0.500
Ag 0.561 0.439 0.500

ΔE to the lowest computed polymorph in meV per atom: 44.8
Space-group type: No. 65
E in eV per atom: -4.27
Energy of formation in eV/atom: -0.07
DOS(E_F) in states/eV/cell: 9.63

Record 8
Compound: LaMg2Sb
Source: Alexandria via LeMat-Bulk
Functional: PBE
Structure: optimized geometry

abc: 4.838 4.838 6.189
angles: 113.08 113.08 60.21
Fractional positions:
La 0.000 0.000 0.000
Mg 0.484 0.484 0.452
Mg 0.775 0.775 0.325
Sb 0.215 0.215 0.647

Space-group type: No. 8
E in eV per atom: -3.46
DOS(E_F) in states/eV/cell: 1.26
Raw formation energy in eV per atom: -0.397

Q: Which value of E does entry 3 give?
A: -1.71 eV per atom

Please write out number 2 again, unchanged.
Compound: NdPdPb
Source: Alexandria via LeMat-Bulk
Functional: PBE
Structure: optimized geometry

abc: 9.492 9.492 9.492
angles: 154.37 154.37 36.56
Fractional positions:
Nd 0.000 0.000 0.000
Nd 0.750 0.250 0.500
Pd 0.306 0.806 0.500
Pd 0.556 0.556 0.000
Pb 0.153 0.653 0.500
Pb 0.403 0.403 0.000

Space-group type: No. 109
E in eV per atom: -5.14
Energy of formation in eV/atom: -0.59
DOS(E_F) in states/eV/cell: 2.64